Below is an optimized crystal structure of KPBr2, with properties calculated at the PBE level.

Lattice parameters (Å, degrees): 6.7953 6.7953 6.7953 146.92 130.51 60.83
With the nearest neighbours (Å) after each atom.
Element x y z (fractional)
Br 0.0937 0.0937 0.0000  2 P 2.66
Br 0.4063 0.4063 0.0000  2 P 2.66
K 0.7500 0.2500 0.5000  4 Br 3.38, 4 P 3.44
P 0.2500 0.7500 0.5000  4 Br 2.66

- formation energy from raw total energies (eV per atom) = -0.468
- magnetization (μB per formula unit) = 0.00
- SG = Immm (71)

***

Below is an optimized crystal structure of KPBr2, with properties calculated at the PBE level.

Lattice parameters (Å, degrees): 9.5790 9.5790 9.5790 24.88 24.88 24.88
With the nearest neighbours (Å) after each atom.
Element x y z (fractional)
P 0.0000 0.0000 0.0000  2 Br 2.49
K 0.5000 0.5000 0.5000  6 Br 3.21
Br 0.9105 0.9105 0.9105  1 P 2.49
Br 0.0895 0.0895 0.0895  1 P 2.49

- formation energy from raw total energies (eV per atom) = -0.313
- magnetization (μB per formula unit) = 0.00
- SG = R-3m (166)

***

Below is an optimized crystal structure of KPBr2, with properties calculated at the PBE level.

Lattice parameters (Å, degrees): 6.0924 6.0924 9.2077 70.68 70.68 90.00
With the nearest neighbours (Å) after each atom.
Element x y z (fractional)
P 0.5000 0.5000 0.0000  4 Br 2.69
P 0.2500 0.7500 0.5000  4 Br 2.69
K 0.0000 0.0000 0.0000  4 Br 3.33
K 0.7500 0.2500 0.5000  4 Br 3.33
Br 0.5206 0.1250 0.2500  2 P 2.69
Br 0.2294 0.6250 0.2500  2 P 2.69
Br 0.3750 0.4794 0.7500  2 P 2.69
Br 0.8750 0.7706 0.7500  2 P 2.69

- formation energy from raw total energies (eV per atom) = -0.343
- magnetization (μB per formula unit) = 0.00
- SG = I-42d (122)

***

Below is an optimized crystal structure of KRb2PBr6, with properties calculated at the PBE level.

Lattice parameters (Å, degrees): 7.8988 8.2145 11.3269 90.00 90.57 90.00
With the nearest neighbours (Å) after each atom.
Element x y z (fractional)
K 0.5000 0.0000 0.0000  6 Br 3.25-3.30
K 0.0000 0.5000 0.5000  6 Br 3.25-3.30
Rb 0.0205 0.9312 0.2471  7 Br 3.49-3.88
Rb 0.5205 0.5688 0.7471  7 Br 3.49-3.88
Rb 0.9795 0.0688 0.7529  7 Br 3.49-3.88
Rb 0.4795 0.4312 0.2529  7 Br 3.49-3.88
P 0.5000 0.0000 0.5000  6 Br 2.60-2.61
P 0.0000 0.5000 0.0000  6 Br 2.60-2.61
Br 0.2690 0.6736 0.0452  1 P 2.61
Br 0.7690 0.8264 0.5452  1 P 2.61
Br 0.7310 0.3264 0.9548  1 P 2.61
Br 0.2310 0.1736 0.4548  1 P 2.61
Br 0.3320 0.7334 0.4525  1 P 2.61
Br 0.8320 0.7666 0.9525  1 P 2.61
Br 0.6680 0.2666 0.5475  1 P 2.61
Br 0.1680 0.2334 0.0475  1 P 2.61
Br 0.9107 0.5204 0.2198  1 P 2.60
Br 0.4107 0.9796 0.7198  1 P 2.60
Br 0.0893 0.4796 0.7802  1 P 2.60
Br 0.5893 0.0204 0.2802  1 P 2.60

- formation energy from raw total energies (eV per atom) = -1.136
- magnetization (μB per formula unit) = 0.00
- SG = P2_1/c (14)

***

Below is an optimized crystal structure of KRb2PBr6, with properties calculated at the PBE level.

Lattice parameters (Å, degrees): 8.0872 8.0872 8.0874 60.00 60.00 90.00
With the nearest neighbours (Å) after each atom.
Element x y z (fractional)
P 0.5000 0.5000 0.0000  6 Br 2.58
K 0.0000 0.0000 0.0000  6 Br 3.14
Br 0.2741 0.2741 0.4517  1 P 2.58
Br 0.7259 0.7259 0.5483  1 P 2.58
Br 0.2741 0.2741 0.0000  1 P 2.58
Br 0.7259 0.7259 0.0000  1 P 2.58
Br 0.7259 0.2741 0.0000  1 P 2.58
Br 0.2741 0.7259 0.0000  1 P 2.58
Rb 0.7500 0.2500 0.5000  12 Br 4.05
Rb 0.2500 0.7500 0.5000  12 Br 4.05

- formation energy from raw total energies (eV per atom) = -1.110
- magnetization (μB per formula unit) = 0.00
- SG = Fm-3m (225)

***

Below is an optimized crystal structure of KP2RuBr, with properties calculated at the PBE level.

Lattice parameters (Å, degrees): 5.3212 5.5552 5.3212 90.00 90.00 90.00
With the nearest neighbours (Å) after each atom.
Element x y z (fractional)
Ru 0.5000 0.5000 0.5000  4 Br 3.76, 8 P 3.85
K 0.0000 0.0000 0.0000  4 P 2.66, 2 Br 2.78
Br 0.0000 0.5000 0.0000  2 K 2.78
P 0.0000 0.0000 0.5000  2 K 2.66
P 0.5000 0.0000 0.0000  2 K 2.66

- formation energy from raw total energies (eV per atom) = 2.086
- magnetization (μB per formula unit) = 2.28
- SG = P4/mmm (123)

***

Below is an optimized crystal structure of K2PRuBr, with properties calculated at the PBE level.

Lattice parameters (Å, degrees): 6.3638 4.6058 6.3638 90.00 90.00 90.00
With the nearest neighbours (Å) after each atom.
Element x y z (fractional)
Ru 0.0000 0.0000 0.0000  2 Br 2.30
K 0.0000 0.0000 0.5000  2 Ru 3.18
K 0.5000 0.0000 0.0000  2 Ru 3.18
Br 0.0000 0.5000 0.0000  2 Ru 2.30
P 0.5000 0.5000 0.5000  8 K 3.93

- formation energy from raw total energies (eV per atom) = 0.638
- magnetization (μB per formula unit) = 2.82
- SG = P4/mmm (123)

***

Below is an optimized crystal structure of KP2SBr, with properties calculated at the PBE level.

Lattice parameters (Å, degrees): 5.0292 5.0292 5.4102 90.00 90.00 90.00
With the nearest neighbours (Å) after each atom.
Element x y z (fractional)
P 0.0000 0.5000 0.0000  2 Br 2.51
P 0.5000 0.0000 0.0000  2 Br 2.51
K 0.5000 0.5000 0.5000  4 S 3.56, 8 P 3.69
S 0.0000 0.0000 0.5000  2 Br 2.71
Br 0.0000 0.0000 0.0000  4 P 2.51, 2 S 2.71

- formation energy from raw total energies (eV per atom) = 0.825
- magnetization (μB per formula unit) = 1.60
- SG = P4/mmm (123)

***

Below is an optimized crystal structure of KP2SBr, with properties calculated at the PBE level.

Lattice parameters (Å, degrees): 6.5290 6.5290 6.1797 90.00 90.00 90.00
With the nearest neighbours (Å) after each atom.
Element x y z (fractional)
P 0.0000 0.5000 0.0000  2 K 3.26
P 0.5000 0.0000 0.0000  2 K 3.26
K 0.0000 0.0000 0.0000  2 S 3.09, 4 P 3.26
S 0.0000 0.0000 0.5000  2 K 3.09
Br 0.5000 0.5000 0.5000  8 P 4.49, 4 S 4.62

- formation energy from raw total energies (eV per atom) = 1.520
- magnetization (μB per formula unit) = 7.84
- SG = P4/mmm (123)

***

Below is an optimized crystal structure of K2ScPBr, with properties calculated at the PBE level.

Lattice parameters (Å, degrees): 5.7222 5.3039 5.7222 90.00 90.00 90.00
With the nearest neighbours (Å) after each atom.
Element x y z (fractional)
Sc 0.0000 0.5000 0.0000  2 Br 2.65
P 0.5000 0.5000 0.5000  8 K 3.90, 4 Sc 4.05
K 0.0000 0.0000 0.5000  2 Br 2.86
K 0.5000 0.0000 0.0000  2 Br 2.86
Br 0.0000 0.0000 0.0000  2 Sc 2.65, 4 K 2.86

- formation energy from raw total energies (eV per atom) = -0.016
- magnetization (μB per formula unit) = 0.98
- SG = P4/mmm (123)

***

Below is an optimized crystal structure of KSc2PBr, with properties calculated at the PBE level.

Lattice parameters (Å, degrees): 5.0395 5.7951 5.0395 90.00 90.00 90.00
With the nearest neighbours (Å) after each atom.
Element x y z (fractional)
Sc 0.0000 0.0000 0.5000  2 Br 2.52
Sc 0.5000 0.0000 0.0000  2 Br 2.52
P 0.0000 0.5000 0.0000  2 Br 2.90
K 0.5000 0.5000 0.5000  4 P 3.56, 8 Sc 3.84
Br 0.0000 0.0000 0.0000  4 Sc 2.52

- formation energy from raw total energies (eV per atom) = 0.291
- magnetization (μB per formula unit) = 0.00
- SG = P4/mmm (123)

***

Below is an optimized crystal structure of KTlP2Br, with properties calculated at the PBE level.

Lattice parameters (Å, degrees): 5.0651 9.4711 5.0651 90.00 90.00 90.00
With the nearest neighbours (Å) after each atom.
Element x y z (fractional)
P 0.0000 0.0000 0.5000  2 Tl 2.53
P 0.5000 0.0000 0.0000  2 Tl 2.53
Tl 0.0000 0.0000 0.0000  4 P 2.53
K 0.0000 0.5000 0.0000  4 Br 3.58
Br 0.5000 0.5000 0.5000  4 K 3.58

- formation energy from raw total energies (eV per atom) = 0.385
- magnetization (μB per formula unit) = 1.36
- SG = P4/mmm (123)

***

Below is an optimized crystal structure of K2TlPBr6, with properties calculated at the PBE level.

Lattice parameters (Å, degrees): 7.9169 7.9174 8.0968 60.72 60.71 59.96
With the nearest neighbours (Å) after each atom.
Element x y z (fractional)
K 0.5366 0.5363 0.3908  6 Br 3.40-3.44
K 0.0302 0.0303 0.9094  6 Br 3.31-3.49
Tl 0.8163 0.8163 0.5508  6 Br 3.15-3.34
P 0.3226 0.3226 0.0321  6 Br 2.57-2.64
Br 0.5435 0.1935 0.2479  1 P 2.57
Br 0.1935 0.0152 0.2478  1 P 2.57
Br 0.0148 0.5440 0.2476  1 P 2.57
Br 0.4514 0.6403 0.7961  1 P 2.64
Br 0.6406 0.1117 0.7964  1 P 2.64
Br 0.1120 0.4513 0.7963  1 P 2.64

- formation energy from raw total energies (eV per atom) = -0.948
- magnetization (μB per formula unit) = 0.00
- SG = R3 (146)

***

Below is an optimized crystal structure of KV2PBr, with properties calculated at the PBE level.

Lattice parameters (Å, degrees): 4.8641 5.5583 4.8641 90.00 90.00 90.00
With the nearest neighbours (Å) after each atom.
Element x y z (fractional)
P 0.0000 0.5000 0.0000  2 Br 2.78
K 0.5000 0.5000 0.5000  4 P 3.44, 8 V 3.69
Br 0.0000 0.0000 0.0000  4 V 2.43
V 0.0000 0.0000 0.5000  2 Br 2.43
V 0.5000 0.0000 0.0000  2 Br 2.43

- formation energy from raw total energies (eV per atom) = 1.085
- magnetization (μB per formula unit) = 6.16
- SG = P4/mmm (123)

***

Below is an optimized crystal structure of K2PaBr8, with properties calculated at the PBE level.

Lattice parameters (Å, degrees): 5.1624 7.0467 11.4824 105.69 102.99 90.00
With the nearest neighbours (Å) after each atom.
Element x y z (fractional)
K 0.8191 0.3103 0.6381  5 Br 3.28-3.65
K 0.1809 0.6897 0.3619  5 Br 3.28-3.65
Pa 0.5000 0.0000 0.0000  8 Br 2.75-3.04
Br 0.4268 0.6161 0.8536  1 Pa 2.75
Br 0.6194 0.9508 0.2388  1 Pa 2.79
Br 0.7737 0.7276 0.5474  3 K 3.28-3.37
Br 0.9769 0.1962 0.9538  2 Pa 3.04, 5 Br 3.21-3.39
Br 0.2263 0.2724 0.4526  3 K 3.28-3.37
Br 0.3806 0.0492 0.7612  1 Pa 2.79
Br 0.5732 0.3839 0.1464  1 Pa 2.75
Br 0.0231 0.8038 0.0462  2 Pa 3.04, 5 Br 3.21-3.39

- formation energy from raw total energies (eV per atom) = -1.249
- magnetization (μB per formula unit) = 0.79
- SG = C2/m (12)

***

Below is an optimized crystal structure of KPa2Br11, with properties calculated at the PBE level.

Lattice parameters (Å, degrees): 13.1538 11.9164 11.9164 67.31 56.50 56.50
With the nearest neighbours (Å) after each atom.
Element x y z (fractional)
K 0.7500 0.7500 0.7500  8 Br 3.70-3.76
K 0.2500 0.2500 0.2500  8 Br 3.70-3.76
Pa 0.6589 0.6543 0.3457  6 Br 2.63-2.92
Pa 0.3411 0.3457 0.6543  6 Br 2.63-2.92
Pa 0.8411 0.1543 0.8457  6 Br 2.63-2.92
Pa 0.1589 0.8457 0.1543  6 Br 2.63-2.92
Br 0.6312 0.6773 0.5796  1 Pa 2.71
Br 0.3688 0.3227 0.4204  1 Pa 2.71
Br 0.1118 0.5796 0.6773  1 Pa 2.71
Br 0.8688 0.9204 0.8227  1 Pa 2.71
Br 0.8882 0.4204 0.3227  1 Pa 2.71
Br 0.1312 0.0796 0.1773  1 Pa 2.71
Br 0.3882 0.8227 0.9204  1 Pa 2.71
Br 0.6118 0.1773 0.0796  1 Pa 2.71
Br 0.5000 0.5000 0.5000  2 Pa 2.92
Br 0.0000 0.0000 0.0000  2 Pa 2.92
Br 0.8014 0.7944 0.2056  1 Pa 2.63
Br 0.1986 0.2056 0.7944  1 Pa 2.63
Br 0.6986 0.2944 0.7056  1 Pa 2.63
Br 0.3014 0.7056 0.2944  1 Pa 2.63
Br 0.4264 0.8850 0.3736  1 Pa 2.71
Br 0.5736 0.1150 0.6264  1 Pa 2.71
Br 0.3149 0.3736 0.8850  1 Pa 2.71
Br 0.0736 0.1264 0.6150  1 Pa 2.71
Br 0.6851 0.6264 0.1150  1 Pa 2.71
Br 0.9264 0.8736 0.3850  1 Pa 2.71
Br 0.1851 0.6150 0.1264  1 Pa 2.71
Br 0.8149 0.3850 0.8736  1 Pa 2.71

- formation energy from raw total energies (eV per atom) = -1.455
- magnetization (μB per formula unit) = 0.00
- SG = Ibam (72)

***

Below is an optimized crystal structure of KPaBr6, with properties calculated at the PBE level.

Lattice parameters (Å, degrees): 7.3371 7.9979 7.3754 57.17 81.69 74.54
With the nearest neighbours (Å) after each atom.
Element x y z (fractional)
K 0.0000 0.0000 0.0000  6 Br 3.38-3.42
Pa 0.5000 0.5000 0.0000  6 Br 2.72-2.73
Br 0.7389 0.4795 0.6896  1 Pa 2.73
Br 0.7389 0.1691 0.3104  1 Pa 2.73
Br 0.2611 0.8309 0.6896  1 Pa 2.73
Br 0.2611 0.5205 0.3104  1 Pa 2.73
Br 0.6835 0.7536 0.0000  1 Pa 2.72
Br 0.3165 0.2464 0.0000  1 Pa 2.72

- formation energy from raw total energies (eV per atom) = -1.541
- magnetization (μB per formula unit) = 0.00
- SG = C2/m (12)

***

Below is an optimized crystal structure of KPa2Br8, with properties calculated at the PBE level.

Lattice parameters (Å, degrees): 9.5265 7.6943 7.6943 54.23 63.43 63.43
With the nearest neighbours (Å) after each atom.
Element x y z (fractional)
K 0.0000 0.0000 0.0000  6 Br 3.52-3.55
Pa 0.5642 0.8678 0.8678  6 Br 2.76-2.96
Pa 0.4358 0.1322 0.1322  6 Br 2.76-2.96
Br 0.2972 0.2784 0.7834  2 Pa 2.92-2.96
Br 0.7028 0.2166 0.7216  2 Pa 2.92-2.96
Br 0.3858 0.7498 0.7498  1 Pa 2.87
Br 0.6142 0.2502 0.2502  1 Pa 2.87
Br 0.2972 0.7834 0.2784  2 Pa 2.92-2.96
Br 0.7028 0.7216 0.2166  2 Pa 2.92-2.96
Br 0.8590 0.6697 0.6697  1 Pa 2.76
Br 0.1410 0.3303 0.3303  1 Pa 2.76

- formation energy from raw total energies (eV per atom) = -1.417
- magnetization (μB per formula unit) = 3.00
- SG = C2/m (12)

***

Below is an optimized crystal structure of K2PaBr4, with properties calculated at the PBE level.

Lattice parameters (Å, degrees): 5.7345 5.7345 9.4332 72.30 72.30 90.00
With the nearest neighbours (Å) after each atom.
Element x y z (fractional)
K 0.6370 0.6370 0.7261  1 Br 3.22
K 0.3630 0.3630 0.2739  1 Br 3.22
Pa 0.0000 0.0000 0.0000  6 Br 2.87-2.96
Br 0.8260 0.8260 0.3480  1 Pa 2.96, 1 K 3.22
Br 0.1740 0.1740 0.6520  1 Pa 2.96, 1 K 3.22
Br 0.0000 0.5000 0.0000  2 Pa 2.87
Br 0.5000 0.0000 0.0000  2 Pa 2.87

- formation energy from raw total energies (eV per atom) = -1.204
- magnetization (μB per formula unit) = 2.91
- SG = I4/mmm (139)

***

Below is an optimized crystal structure of KPaBr6, with properties calculated at the PBE level.

Lattice parameters (Å, degrees): 7.6660 7.6660 8.2916 62.47 62.47 60.00
With the nearest neighbours (Å) after each atom.
Element x y z (fractional)
K 0.5000 0.5000 0.5000  12 Br 4.29
Pa 0.0000 0.0000 0.0000  6 Br 2.72
Br 0.9089 0.9089 0.7739  1 Pa 2.72
Br 0.4082 0.9089 0.7739  1 Pa 2.72
Br 0.0911 0.5918 0.2261  1 Pa 2.72
Br 0.5918 0.0911 0.2261  1 Pa 2.72
Br 0.0911 0.0911 0.2261  1 Pa 2.72
Br 0.9089 0.4082 0.7739  1 Pa 2.72

- formation energy from raw total energies (eV per atom) = -1.495
- magnetization (μB per formula unit) = 0.00
- SG = R-3m (166)